# 1
Here is crystalline Tb2YTl9 at its relaxed geometry from Alexandria via LeMat-Bulk. Energies are from GGA-PBE.

* Fermi-level density of states: 3.05 states/eV/f.u.
* raw total energy: -40.0 eV/cell
* symmetry: P4/mmm, No. 123
* V: 326.2 Å³ per cell
* energy of formation: -0.251 eV/atom

The structure in POSCAR format:
```
Tb2YTl9
1.0
4.773 0.000 0.000
0.000 4.773 0.000
0.000 0.000 14.317
Tb Y Tl
2 1 9
Direct
0.000 0.000 0.167 Tb
0.000 0.000 0.833 Tb
0.000 0.000 0.500 Y
0.000 0.500 0.000 Tl
0.000 0.500 0.333 Tl
0.000 0.500 0.667 Tl
0.500 0.000 0.000 Tl
0.500 0.000 0.333 Tl
0.500 0.000 0.667 Tl
0.500 0.500 0.167 Tl
0.500 0.500 0.500 Tl
0.500 0.500 0.833 Tl
```

---

# 2
Here is crystalline Tb5Y2Tl at its relaxed geometry from Alexandria via LeMat-Bulk. Energies are from GGA-PBE.

* Fermi-level density of states: 11.15 states/eV/f.u.
* raw total energy: -38.7 eV/cell
* symmetry: I4/mmm, No. 139
* V: 246.8 Å³ per cell
* energy of formation: -0.035 eV/atom

The structure in POSCAR format:
```
Tb5Y2Tl
1.0
-3.525 3.525 4.967
3.525 -3.525 4.967
3.525 3.525 -4.967
Tb Y Tl
5 2 1
Direct
0.000 0.000 0.000 Tb
0.000 0.000 0.500 Tb
0.000 0.500 0.000 Tb
0.500 0.000 0.000 Tb
0.500 0.500 0.500 Tb
0.000 0.500 0.500 Y
0.500 0.000 0.500 Y
0.500 0.500 0.000 Tl
```

---

# 3
Here is crystalline Tb3Y3Tl2 at its relaxed geometry from Alexandria via LeMat-Bulk. Energies are from GGA-PBE.

* Fermi-level density of states: 10.93 states/eV/f.u.
* raw total energy: -77.7 eV/cell
* symmetry: Cmcm, No. 63
* excess energy over the best structure of this formula in the dataset: 66 kJ/mol of formula units
* V: 494.8 Å³ per cell
* energy of formation: -0.105 eV/atom

The structure in POSCAR format:
```
Tb3Y3Tl2
1.0
2.599 -6.002 0.000
2.599 6.002 0.000
0.000 0.000 15.865
Tb Y Tl
6 6 4
Direct
0.048 0.952 0.750 Tb
0.139 0.861 0.030 Tb
0.139 0.861 0.470 Tb
0.861 0.139 0.530 Tb
0.861 0.139 0.970 Tb
0.952 0.048 0.250 Tb
0.235 0.765 0.250 Y
0.460 0.540 0.105 Y
0.460 0.540 0.395 Y
0.540 0.460 0.605 Y
0.540 0.460 0.895 Y
0.765 0.235 0.750 Y
0.275 0.725 0.638 Tl
0.275 0.725 0.862 Tl
0.725 0.275 0.138 Tl
0.725 0.275 0.362 Tl
```

---

# 4
Here is crystalline TbYTl at its relaxed geometry from Alexandria via LeMat-Bulk. Energies are from GGA-PBE.

* Fermi-level density of states: 3.66 states/eV/f.u.
* raw total energy: -28.6 eV/cell
* symmetry: P6_3/mmc, No. 194
* excess energy over the best structure of this formula in the dataset: 0 kJ/mol of formula units
* V: 172.1 Å³ per cell
* energy of formation: -0.282 eV/atom

The structure in POSCAR format:
```
TbYTl
1.0
5.433 0.000 0.000
-2.716 4.705 0.000
0.000 0.000 6.735
Tb Y Tl
2 2 2
Direct
0.000 0.000 0.000 Tb
0.000 0.000 0.500 Tb
0.333 0.667 0.250 Y
0.667 0.333 0.750 Y
0.333 0.667 0.750 Tl
0.667 0.333 0.250 Tl
```

---

# 5
Here is crystalline TbYTl at its relaxed geometry from Alexandria via LeMat-Bulk. Energies are from GGA-PBE.

* Fermi-level density of states: 3.11 states/eV/f.u.
* raw total energy: -26.9 eV/cell
* symmetry: P4/nmm, No. 129
* excess energy over the best structure of this formula in the dataset: 85 kJ/mol of formula units
* V: 187.1 Å³ per cell
* energy of formation: 0.010 eV/atom

The structure in POSCAR format:
```
TbYTl
1.0
4.913 0.000 0.000
0.000 4.913 0.000
0.000 0.000 7.748
Tb Y Tl
2 2 2
Direct
0.250 0.250 0.228 Tb
0.750 0.750 0.772 Tb
0.250 0.250 0.781 Y
0.750 0.750 0.219 Y
0.250 0.750 0.500 Tl
0.750 0.250 0.500 Tl
```

---

# 6
Here is crystalline Tb2Y2Tl7 at its relaxed geometry from Alexandria via LeMat-Bulk. Energies are from GGA-PBE.

* Fermi-level density of states: 6.79 states/eV/f.u.
* raw total energy: -39.8 eV/cell
* symmetry: C2/m, No. 12
* V: 328.8 Å³ per cell
* energy of formation: -0.095 eV/atom

The structure in POSCAR format:
```
Tb2Y2Tl7
1.0
5.728 -4.857 0.000
5.728 4.857 0.000
-0.885 0.000 5.909
Tb Y Tl
2 2 7
Direct
0.187 0.813 0.000 Tb
0.813 0.187 0.000 Tb
0.265 0.265 0.312 Y
0.735 0.735 0.688 Y
0.000 0.000 0.500 Tl
0.059 0.405 0.762 Tl
0.405 0.059 0.762 Tl
0.467 0.467 0.749 Tl
0.533 0.533 0.251 Tl
0.595 0.941 0.238 Tl
0.941 0.595 0.238 Tl
```

---

# 7
Here is crystalline Tb4Y5Tl at its relaxed geometry from Alexandria via LeMat-Bulk. Energies are from GGA-PBE.

* Fermi-level density of states: 14.88 states/eV/f.u.
* raw total energy: -51.9 eV/cell
* symmetry: I4mm, No. 107
* excess energy over the best structure of this formula in the dataset: 187 kJ/mol of formula units
* V: 331.1 Å³ per cell
* energy of formation: 0.134 eV/atom

The structure in POSCAR format:
```
Tb4Y5Tl
1.0
-5.329 5.329 2.915
5.329 -5.329 2.915
5.329 5.329 -2.915
Tb Y Tl
4 5 1
Direct
0.000 0.319 0.319 Tb
0.000 0.681 0.681 Tb
0.319 0.000 0.319 Tb
0.681 0.000 0.681 Tb
0.196 0.196 0.000 Y
0.311 0.311 0.629 Y
0.311 0.682 0.000 Y
0.682 0.311 0.000 Y
0.682 0.682 0.371 Y
0.715 0.715 0.000 Tl
```

---

# 8
Here is crystalline Tb3Y6Tl at its relaxed geometry from Alexandria via LeMat-Bulk. Energies are from GGA-PBE.

* Fermi-level density of states: 14.48 states/eV/f.u.
* raw total energy: -109.6 eV/cell
* symmetry: Cmc2_1, No. 36
* excess energy over the best structure of this formula in the dataset: 18 kJ/mol of formula units
* V: 638.9 Å³ per cell
* energy of formation: 0.024 eV/atom

The structure in POSCAR format:
```
Tb3Y6Tl
1.0
5.481 -9.455 0.000
5.481 9.455 0.000
0.000 0.000 6.164
Tb Y Tl
6 12 2
Direct
0.108 0.892 0.500 Tb
0.232 0.442 0.912 Tb
0.442 0.232 0.412 Tb
0.558 0.768 0.912 Tb
0.768 0.558 0.412 Tb
0.892 0.108 0.000 Tb
0.014 0.443 0.286 Y
0.112 0.212 0.480 Y
0.212 0.112 0.980 Y
0.234 0.766 0.122 Y
0.443 0.014 0.786 Y
0.443 0.557 0.389 Y
0.557 0.443 0.889 Y
0.557 0.986 0.286 Y
0.766 0.234 0.622 Y
0.788 0.888 0.480 Y
0.888 0.788 0.980 Y
0.986 0.557 0.786 Y
0.289 0.711 0.593 Tl
0.711 0.289 0.093 Tl
```

---

# 9
Here is crystalline Tb2YTl4 at its relaxed geometry from Alexandria via LeMat-Bulk. Energies are from GGA-PBE.

* Fermi-level density of states: 6.65 states/eV/f.u.
* raw total energy: -26.9 eV/cell
* symmetry: I4/mmm, No. 139
* excess energy over the best structure of this formula in the dataset: 0 kJ/mol of formula units
* V: 211.4 Å³ per cell
* energy of formation: -0.238 eV/atom

The structure in POSCAR format:
```
Tb2YTl4
1.0
-3.751 3.751 3.757
3.751 -3.751 3.757
3.751 3.751 -3.757
Tb Y Tl
2 1 4
Direct
0.000 0.500 0.500 Tb
0.500 0.000 0.500 Tb
0.000 0.000 0.000 Y
0.000 0.000 0.500 Tl
0.000 0.500 0.000 Tl
0.500 0.000 0.000 Tl
0.500 0.500 0.500 Tl
```

---

# 10
Here is crystalline Tb3YTl at its relaxed geometry from Alexandria via LeMat-Bulk. Energies are from GGA-PBE.

* Fermi-level density of states: 5.60 states/eV/f.u.
* raw total energy: -46.7 eV/cell
* symmetry: Cmcm, No. 63
* excess energy over the best structure of this formula in the dataset: 0 kJ/mol of formula units
* V: 296.4 Å³ per cell
* energy of formation: -0.130 eV/atom

The structure in POSCAR format:
```
Tb3YTl
1.0
2.413 -12.781 0.000
2.413 12.781 0.000
0.000 0.000 4.806
Tb Y Tl
6 2 2
Direct
0.049 0.951 0.750 Tb
0.250 0.750 0.750 Tb
0.448 0.552 0.750 Tb
0.552 0.448 0.250 Tb
0.750 0.250 0.250 Tb
0.951 0.049 0.250 Tb
0.149 0.851 0.250 Y
0.851 0.149 0.750 Y
0.348 0.652 0.250 Tl
0.652 0.348 0.750 Tl
```

---

# 11
Here is crystalline TbY2Tl3 at its relaxed geometry from Alexandria via LeMat-Bulk. Energies are from GGA-PBE.

* Fermi-level density of states: 4.41 states/eV/f.u.
* raw total energy: -26.9 eV/cell
* symmetry: P4/mmm, No. 123
* V: 165.4 Å³ per cell
* energy of formation: -0.373 eV/atom

The structure in POSCAR format:
```
TbY2Tl3
1.0
3.688 0.000 0.000
0.000 3.688 0.000
0.000 0.000 12.165
Tb Y Tl
1 2 3
Direct
0.000 0.000 0.000 Tb
0.000 0.000 0.334 Y
0.000 0.000 0.666 Y
0.500 0.500 0.167 Tl
0.500 0.500 0.500 Tl
0.500 0.500 0.833 Tl
```

---

# 12
Here is crystalline Tb3YTl at its relaxed geometry from Alexandria via LeMat-Bulk. Energies are from GGA-PBE.

* Fermi-level density of states: 5.77 states/eV/f.u.
* raw total energy: -46.3 eV/cell
* symmetry: P-1, No. 2
* excess energy over the best structure of this formula in the dataset: 22 kJ/mol of formula units
* V: 309.8 Å³ per cell
* energy of formation: -0.084 eV/atom

The structure in POSCAR format:
```
Tb3YTl
1.0
5.571 0.000 0.000
0.050 6.822 0.000
1.125 0.703 8.151
Tb Y Tl
6 2 2
Direct
0.190 0.029 0.253 Tb
0.216 0.495 0.339 Tb
0.290 0.221 0.799 Tb
0.710 0.779 0.201 Tb
0.784 0.505 0.661 Tb
0.810 0.971 0.747 Tb
0.266 0.688 0.951 Y
0.734 0.312 0.049 Y
0.339 0.795 0.579 Tl
0.661 0.205 0.421 Tl
```

---

# 13
Here is crystalline Tb4Y5Tl2 at its relaxed geometry from Alexandria via LeMat-Bulk. Energies are from GGA-PBE.

* Fermi-level density of states: 14.86 states/eV/f.u.
* raw total energy: -52.9 eV/cell
* symmetry: R-3m, No. 166
* V: 374.4 Å³ per cell
* energy of formation: 0.246 eV/atom

The structure in POSCAR format:
```
Tb4Y5Tl2
1.0
2.615 1.510 15.808
-2.615 1.510 15.808
0.000 -3.019 15.808
Tb Y Tl
4 5 2
Direct
0.073 0.073 0.073 Tb
0.225 0.225 0.225 Tb
0.775 0.775 0.775 Tb
0.927 0.927 0.927 Tb
0.000 0.000 0.000 Y
0.148 0.148 0.148 Y
0.302 0.302 0.302 Y
0.698 0.698 0.698 Y
0.852 0.852 0.852 Y
0.379 0.379 0.379 Tl
0.621 0.621 0.621 Tl
```

---

# 14
Here is crystalline TbY4Tl2 at its relaxed geometry from Alexandria via LeMat-Bulk. Energies are from GGA-PBE.

* Fermi-level density of states: 6.77 states/eV/f.u.
* raw total energy: -34.9 eV/cell
* symmetry: R-3m, No. 166
* V: 232.7 Å³ per cell
* energy of formation: 0.050 eV/atom

The structure in POSCAR format:
```
TbY4Tl2
1.0
2.639 1.524 9.643
-2.639 1.524 9.643
0.000 -3.048 9.643
Tb Y Tl
1 4 2
Direct
0.000 0.000 0.000 Tb
0.213 0.213 0.213 Y
0.380 0.380 0.380 Y
0.620 0.620 0.620 Y
0.787 0.787 0.787 Y
0.104 0.104 0.104 Tl
0.896 0.896 0.896 Tl
```

---

# 15
Here is crystalline Tb5YTl2 at its relaxed geometry from Alexandria via LeMat-Bulk. Energies are from GGA-PBE.

* Fermi-level density of states: 11.02 states/eV/f.u.
* raw total energy: -35.3 eV/cell
* symmetry: Immm, No. 71
* V: 242.1 Å³ per cell
* energy of formation: -0.116 eV/atom

The structure in POSCAR format:
```
Tb5YTl2
1.0
-1.810 5.295 6.314
1.810 -5.295 6.314
1.810 5.295 -6.314
Tb Y Tl
5 1 2
Direct
0.000 0.000 0.000 Tb
0.092 0.365 0.726 Tb
0.361 0.635 0.726 Tb
0.639 0.365 0.274 Tb
0.908 0.635 0.274 Tb
0.500 0.000 0.500 Y
0.265 0.265 0.000 Tl
0.735 0.735 0.000 Tl
```

---

# 16
Here is crystalline Tb4YTl7 at its relaxed geometry from Alexandria via LeMat-Bulk. Energies are from GGA-PBE.

* Fermi-level density of states: 6.52 states/eV/f.u.
* raw total energy: -43.1 eV/cell
* symmetry: C2/m, No. 12
* V: 365.3 Å³ per cell
* energy of formation: -0.128 eV/atom

The structure in POSCAR format:
```
Tb4YTl7
1.0
6.763 -2.836 0.000
6.763 2.836 0.000
-6.315 0.000 9.524
Tb Y Tl
4 1 7
Direct
0.086 0.086 0.284 Tb
0.220 0.220 0.827 Tb
0.780 0.780 0.173 Tb
0.914 0.914 0.716 Tb
0.500 0.500 0.500 Y
0.000 0.000 0.500 Tl
0.133 0.133 0.042 Tl
0.285 0.285 0.604 Tl
0.418 0.418 0.175 Tl
0.582 0.582 0.825 Tl
0.715 0.715 0.396 Tl
0.867 0.867 0.958 Tl
```

---

# 17
Here is crystalline Tb3Y2Tl at its relaxed geometry from Alexandria via LeMat-Bulk. Energies are from GGA-PBE.

* Fermi-level density of states: 7.20 states/eV/f.u.
* raw total energy: -29.9 eV/cell
* symmetry: Cmmm, No. 65
* excess energy over the best structure of this formula in the dataset: 0 kJ/mol of formula units
* V: 181.5 Å³ per cell
* energy of formation: -0.111 eV/atom

The structure in POSCAR format:
```
Tb3Y2Tl
1.0
2.437 -7.593 0.000
2.437 7.593 0.000
0.000 0.000 4.903
Tb Y Tl
3 2 1
Direct
0.000 0.000 0.000 Tb
0.331 0.669 0.000 Tb
0.669 0.331 0.000 Tb
0.161 0.839 0.500 Y
0.839 0.161 0.500 Y
0.500 0.500 0.500 Tl
```

---

# 18
Here is crystalline Tb14YTl at its relaxed geometry from Alexandria via LeMat-Bulk. Energies are from GGA-PBE.

* Fermi-level density of states: 22.24 states/eV/f.u.
* raw total energy: -73.9 eV/cell
* symmetry: P4/mmm, No. 123
* V: 501.1 Å³ per cell
* energy of formation: -0.013 eV/atom

The structure in POSCAR format:
```
Tb14YTl
1.0
7.065 0.000 0.000
0.000 7.065 0.000
0.000 0.000 10.039
Tb Y Tl
14 1 1
Direct
0.000 0.000 0.000 Tb
0.000 0.500 0.000 Tb
0.000 0.500 0.500 Tb
0.250 0.250 0.252 Tb
0.250 0.250 0.748 Tb
0.250 0.750 0.252 Tb
0.250 0.750 0.748 Tb
0.500 0.000 0.000 Tb
0.500 0.000 0.500 Tb
0.500 0.500 0.000 Tb
0.750 0.250 0.252 Tb
0.750 0.250 0.748 Tb
0.750 0.750 0.252 Tb
0.750 0.750 0.748 Tb
0.000 0.000 0.500 Y
0.500 0.500 0.500 Tl
```

---

# 19
Here is crystalline TbY2Tl at its relaxed geometry from Alexandria via LeMat-Bulk. Energies are from GGA-PBE.

* Fermi-level density of states: 5.32 states/eV/f.u.
* raw total energy: -41.4 eV/cell
* symmetry: Cmcm, No. 63
* excess energy over the best structure of this formula in the dataset: 5 kJ/mol of formula units
* V: 242.3 Å³ per cell
* energy of formation: -0.188 eV/atom

The structure in POSCAR format:
```
TbY2Tl
1.0
1.841 -6.460 0.000
1.841 6.460 0.000
0.000 0.000 10.188
Tb Y Tl
2 4 2
Direct
0.042 0.958 0.750 Tb
0.958 0.042 0.250 Tb
0.369 0.631 0.534 Y
0.369 0.631 0.966 Y
0.631 0.369 0.034 Y
0.631 0.369 0.466 Y
0.245 0.755 0.250 Tl
0.755 0.245 0.750 Tl
```

---

# 20
Here is crystalline Tb5YTl5 at its relaxed geometry from Alexandria via LeMat-Bulk. Energies are from GGA-PBE.

* Fermi-level density of states: 11.50 states/eV/f.u.
* raw total energy: -42.7 eV/cell
* symmetry: C2/m, No. 12
* V: 337.1 Å³ per cell
* energy of formation: -0.117 eV/atom

The structure in POSCAR format:
```
Tb5YTl5
1.0
8.115 -2.946 0.000
8.115 2.946 0.000
-1.187 0.000 7.052
Tb Y Tl
5 1 5
Direct
0.000 0.000 0.000 Tb
0.325 0.325 0.588 Tb
0.363 0.363 0.098 Tb
0.637 0.637 0.902 Tb
0.675 0.675 0.412 Tb
0.000 0.000 0.500 Y
0.169 0.169 0.779 Tl
0.176 0.176 0.231 Tl
0.500 0.500 0.500 Tl
0.824 0.824 0.769 Tl
0.831 0.831 0.221 Tl
```

---

| no. | spin magnetization (μB per formula unit) |
| --- | --- |
| 1 | 0.00 |
| 2 | 0.00 |
| 3 | 0.00 |
| 4 | 0.44 |
| 5 | 1.02 |
| 6 | 0.00 |
| 7 | 0.00 |
| 8 | 0.00 |
| 9 | 0.28 |
| 10 | 0.00 |
| 11 | 0.00 |
| 12 | 0.00 |
| 13 | 0.02 |
| 14 | 0.00 |
| 15 | 0.00 |
| 16 | 0.00 |
| 17 | 0.00 |
| 18 | 0.00 |
| 19 | 0.28 |
| 20 | 0.00 |